Run one
Rh3BrO | PBE | optimized geometry

Output
density of states at the Fermi level: 14.77 states/eV/f.u.
space-group type: Pm-3m
size of the total moment: 3.4 Bohr magnetons per cell

a = 4.633 Å, b = 4.633 Å, c = 4.633 Å
α = 90.00°, β = 90.00°, γ = 90.00°
Sites, in units of the cell vectors:
Rh1 0.000 0.000 0.500
Rh2 0.000 0.500 0.000
Rh3 0.500 0.000 0.000
Br1 0.000 0.000 0.000
O1 0.500 0.500 0.500

=====

Run two
Rh3BrO | PBE | optimized geometry

Output
density of states at the Fermi level: 5.87 states/eV/f.u.
space-group type: Pm-3m
size of the total moment: 2.6 Bohr magnetons per cell

a = 4.244 Å, b = 4.244 Å, c = 4.244 Å
α = 90.00°, β = 90.00°, γ = 90.00°
Sites, in units of the cell vectors:
Rh1 0.000 0.000 0.500
Rh2 0.000 0.500 0.000
Rh3 0.500 0.000 0.000
Br1 0.500 0.500 0.500
O1 0.000 0.000 0.000

=====

Referenced to the most stable arrangement, the calculated values in kJ/mol of atoms are run one 98.4; run two 0.0.

=====

Run one
Rh2BrO | PBE | optimized geometry

Output
density of states at the Fermi level: 5.26 states/eV/f.u.
space-group type: I-42d
size of the total moment: 0.0 Bohr magnetons per cell

a = 7.050 Å, b = 7.050 Å, c = 7.050 Å
α = 140.38°, β = 140.38°, γ = 57.28°
Sites, in units of the cell vectors:
Rh1 0.375 0.243 0.368
Rh2 0.757 0.125 0.132
Rh3 0.875 0.007 0.632
Rh4 0.993 0.625 0.868
Br1 0.250 0.750 0.500
Br2 0.500 0.500 0.000
O1 0.000 0.000 0.000
O2 0.750 0.250 0.500

=====

Run two
Rh2BrO | PBE | optimized geometry

Output
density of states at the Fermi level: 5.54 states/eV/f.u.
space-group type: Fm-3m
size of the total moment: 0.7 Bohr magnetons per cell

a = 4.255 Å, b = 4.255 Å, c = 4.255 Å
α = 60.00°, β = 60.00°, γ = 60.00°
Sites, in units of the cell vectors:
Rh1 0.250 0.250 0.250
Rh2 0.750 0.750 0.750
Br1 0.000 0.000 0.000
O1 0.500 0.500 0.500

=====

Referenced to the most stable arrangement, the calculated values in kJ/mol of atoms are run one 0.0; run two 47.2.

=====

Run one
RuSeBr2O | PBE | optimized geometry

Output
density of states at the Fermi level: 4.62 states/eV/f.u.
space-group type: P4/mmm
size of the total moment: 3.7 Bohr magnetons per cell

a = 4.811 Å, b = 4.811 Å, c = 4.319 Å
α = 90.00°, β = 90.00°, γ = 90.00°
Sites, in units of the cell vectors:
Ru1 0.000 0.000 0.000
Se1 0.500 0.500 0.000
Br1 0.000 0.500 0.500
Br2 0.500 0.000 0.500
O1 0.500 0.500 0.500

=====

Run two
RuSeBr2O | PBE | optimized geometry

Output
density of states at the Fermi level: 7.83 states/eV/f.u.
space-group type: P4/mmm
size of the total moment: 1.4 Bohr magnetons per cell

a = 5.196 Å, b = 5.196 Å, c = 4.633 Å
α = 90.00°, β = 90.00°, γ = 90.00°
Sites, in units of the cell vectors:
Ru1 0.000 0.000 0.000
Se1 0.000 0.000 0.500
Br1 0.000 0.500 0.000
Br2 0.500 0.000 0.000
O1 0.500 0.500 0.500

=====

Referenced to the most stable arrangement, the calculated values in kJ/mol of atoms are run one 33.3; run two 0.0.

=====

Run one
Se2SBrO | PBE | optimized geometry

Output
density of states at the Fermi level: 8.43 states/eV/f.u.
space-group type: P4/mmm
size of the total moment: 0.0 Bohr magnetons per cell

a = 4.886 Å, b = 4.886 Å, c = 4.851 Å
α = 90.00°, β = 90.00°, γ = 90.00°
Sites, in units of the cell vectors:
Se1 0.000 0.500 0.000
Se2 0.500 0.000 0.000
S1 0.000 0.000 0.000
Br1 0.000 0.000 0.500
O1 0.500 0.500 0.500

=====

Run two
Se2SBrO | PBE | optimized geometry

Output
density of states at the Fermi level: 5.10 states/eV/f.u.
space-group type: P4/mmm
size of the total moment: 0.0 Bohr magnetons per cell

a = 4.450 Å, b = 4.450 Å, c = 4.828 Å
α = 90.00°, β = 90.00°, γ = 90.00°
Sites, in units of the cell vectors:
Se1 0.000 0.500 0.000
Se2 0.500 0.000 0.000
S1 0.000 0.000 0.500
Br1 0.500 0.500 0.500
O1 0.500 0.500 0.000

=====

Referenced to the most stable arrangement, the calculated values in kJ/mol of atoms are run one 25.0; run two 0.0.